Record 1
Tl2ZnAsS: optimized geometry, PBE.

```
Tl2ZnAsS
1.0
5.769 0.000 0.000
0.000 5.769 0.000
0.000 0.000 4.814
Tl Zn As S
2 1 1 1
Direct
0.000 0.500 0.000
0.500 0.000 0.000
0.000 0.000 0.500
0.500 0.500 0.000
0.500 0.500 0.500
```

Formation energy without anion corrections: 0.3186 eV per atom
DOS at the Fermi energy: 3.01 states/eV per cell

***

Record 2
Ac3HgGe: optimized geometry, PBE.

```
Ac3HgGe
1.0
4.435 0.000 0.000
2.195 8.094 0.000
0.020 0.164 9.847
Ac Hg Ge
6 2 2
Direct
0.043 0.412 0.165
0.240 0.019 0.836
0.399 0.697 0.399
0.601 0.303 0.601
0.760 0.981 0.164
0.957 0.588 0.835
0.198 0.109 0.409
0.802 0.891 0.591
0.393 0.714 0.069
0.607 0.286 0.931
```

ΔE_f: -2.1 eV per formula unit
Energy above the lowest structure with this stoichiometry: 0 meV per atom
DOS at the Fermi energy: 9.87 states/eV per cell

***

Number 1: mass density 6.02 g/cm³, calculated total energy -13.2 eV per cell, size of the total moment 0.0 μB per formula unit. Number 2: mass density 8.97 g/cm³, calculated total energy -38.8 eV per cell, size of the total moment 0.0 μB per formula unit.